{
  "formula": "MgWF3",
  "functional": "PBE+U",
  "state": "optimized geometry",
  "cell": [[4.064, 0.000, 0.000], [0.000, 4.064, 0.000], [0.000, 0.000, 4.064]],
  "species": ["Mg", "W", "F", "F", "F"],
  "frac_coords": [[0.000, 0.000, 0.000], [0.500, 0.500, 0.500], [0.000, 0.000, 0.500], [0.000, 0.500, 0.000], [0.500, 0.000, 0.000]],
  "dft_energy_ev_per_cell": -23.35,
  "e_above_lowest_polymorph_mev_per_atom": 0.0,
  "magnetic_moment_mub_per_cell": 5.000,
  "space_group": "Pm-3m",
  "n_ef_per_ev_fu": 2.646
}